Computed, not measured: a relaxed structure of AlSi5 at the PBE level of DFT.

```
AlSi5
1.0
2.7106 0.0000 0.0000
0.0000 2.7106 0.0000
0.0000 0.0000 12.0803
Al Si
1 5
Cartesian
1.3553 1.3553 0.0000 Al
0.0000 0.0000 10.0743 Si
0.0000 0.0000 2.0060 Si
1.3553 1.3553 8.0617 Si
1.3553 1.3553 4.0186 Si
0.0000 0.0000 6.0401 Si
```

Properties
ΔE_f (raw): 0.42 eV per atom
Symmetry: P4/mmm
Energy above the most stable polymorph in this dataset: 0.045 eV/atom

***

Computed, not measured: a relaxed structure of Sm12AlSi5 at the PBE level of DFT.

```
Sm12AlSi5
1.0
-7.8838 2.3143 2.6185
2.8321 -6.7422 4.5706
5.7538 6.3110 1.1972
Sm Al Si
12 1 5
Cartesian
2.1863 0.3558 6.0626 Sm
-1.4842 1.5273 2.3237 Sm
-2.4660 5.5026 4.0823 Sm
3.1680 -3.6195 4.3040 Sm
-1.4428 -0.5042 5.4086 Sm
2.1448 2.3874 2.9776 Sm
5.1932 2.2342 5.0254 Sm
-4.4912 -0.3511 3.3608 Sm
-0.3418 2.8612 5.5925 Sm
1.0438 -0.9781 2.7937 Sm
5.5443 -1.2042 5.8170 Sm
-4.8422 3.0873 2.5692 Sm
4.2929 -0.2156 2.8839 Al
-3.1606 -2.7702 4.4978 Si
-1.8912 -1.6576 2.6913 Si
-0.0801 4.2632 2.5695 Si
0.7821 -2.3801 5.8168 Si
0.0000 0.0000 0.0000 Si
```

Properties
ΔE_f (raw): -0.49 eV per atom
Symmetry: Immm

***

Computed, not measured: a relaxed structure of Sm3Al4Si2 at the PBE level of DFT.

```
Sm3Al4Si2
1.0
-3.2334 1.9197 -1.9994
-1.1699 -5.7642 0.8934
-2.5088 3.4250 7.3456
Sm Al Si
3 4 2
Cartesian
-4.2181 1.6124 3.8336 Sm
0.0000 0.0000 0.0000 Sm
-2.6941 -2.0319 2.4059 Sm
-3.0375 -0.9970 -0.5809 Al
-3.8747 0.5775 6.8204 Al
-5.6708 -1.2387 3.4455 Al
-1.2414 0.8192 2.7941 Al
-2.9362 0.8440 1.0228 Si
-3.9760 -1.2635 5.2167 Si
```

Properties
ΔE_f (raw): -0.58 eV per atom
Symmetry: C2/m

***

Computed, not measured: a relaxed structure of Sm3AlSi4 at the PBE level of DFT.

```
Sm3AlSi4
1.0
4.3837 0.0000 0.0000
0.0000 5.7609 -0.6635
-2.1919 -2.0330 7.7268
Sm Al Si
3 1 4
Cartesian
0.0000 2.8804 -0.3318 Sm
0.0000 0.3193 2.7726 Sm
2.1919 3.4087 4.2907 Sm
2.1919 0.0000 0.0000 Al
0.0000 1.7851 5.4149 Si
2.1919 1.9428 1.6484 Si
2.1919 4.2430 1.3849 Si
0.0000 -0.5151 5.6784 Si
```

Properties
ΔE_f (raw): -0.52 eV per atom
Symmetry: Immm

***

Computed, not measured: a relaxed structure of Sm4AlSi3 at the PBE level of DFT.

```
Sm4AlSi3
1.0
4.4191 0.0000 0.0000
0.0000 3.9711 0.0000
0.0000 0.0000 10.9796
Sm Al Si
4 1 3
Cartesian
2.2096 1.9855 3.9890 Sm
0.0000 1.9855 9.3984 Sm
0.0000 0.0000 1.5826 Sm
2.2096 0.0000 7.0237 Sm
2.2096 1.9855 0.7553 Al
0.0000 1.9855 6.3035 Si
0.0000 0.0000 4.7295 Si
2.2096 0.0000 10.1365 Si
```

Properties
ΔE_f (raw): -0.70 eV per atom
Symmetry: Pmm2

***

Computed, not measured: a relaxed structure of SmAlSi at the PBE level of DFT.

```
SmAlSi
1.0
5.6200 0.5568 -0.4674
3.3349 7.2779 -0.6739
1.8944 -1.7037 3.1594
Al Sm Si
2 2 2
Cartesian
4.8821 4.0331 0.2838 Al
4.9873 1.5762 1.5020 Al
7.6643 6.1039 -0.2703 Sm
2.0219 1.7854 0.7882 Sm
6.6257 4.5945 2.1475 Si
6.9362 -0.2238 1.9693 Si
```

Properties
ΔE_f (raw): -0.46 eV per atom
Symmetry: P1

***

Which value of ΔE_f (raw) does entry 4 give? -0.52 eV per atom